1.
CaCu2W, optimized geometry, DFT PBE-GGA; ρ = 8.75 Mg/m³; energy of formation = 0.410 eV/atom
1.0
-0.273 -1.571 2.410
2.689 -1.000 -0.348
2.823 6.097 4.295
Ca Cu W
1 2 1
direct
0.500 0.500 0.750 Ca
0.000 0.000 0.468 Cu
0.000 0.000 0.032 Cu
0.500 0.500 0.250 W


2.
BaScBMo2, optimized geometry, DFT PBE-GGA; ρ = 4.94 Mg/m³; energy of formation = 3.255 eV/atom
1.0
4.977 0.000 0.000
0.000 5.227 0.000
0.000 0.000 4.977
Mo Ba Sc B
2 1 1 1
direct
0.000 0.000 0.500 Mo
0.500 0.000 0.000 Mo
0.000 0.000 0.000 Ba
0.000 0.500 0.000 Sc
0.500 0.500 0.500 B


3.
HPdSe, optimized geometry, DFT PBE-GGA; ρ = 6.72 Mg/m³; E = -24.2 eV per cell
1.0
-2.851 -2.646 -2.440
0.744 -2.369 1.700
-4.956 1.462 4.206
H Pd Se
2 2 2
direct
0.500 0.500 0.377 H
0.000 0.000 0.877 H
0.500 0.000 0.251 Pd
0.000 0.500 0.751 Pd
0.000 0.000 0.426 Se
0.500 0.500 0.926 Se


4.
Rb4Th3ScTe8, optimized geometry, DFT PBE-GGA; ρ = 5.77 Mg/m³; raw formation energy = -1.175 eV per atom
1.0
8.937 0.000 0.000
0.000 10.121 0.832
-4.469 -4.469 6.322
Rb Te Sc Th
4 8 1 3
direct
0.500 0.000 0.500 Rb
0.000 0.000 0.500 Rb
0.000 0.000 0.000 Rb
0.500 0.000 0.000 Rb
0.251 0.297 0.024 Te
0.738 0.714 0.476 Te
0.749 0.703 0.976 Te
0.227 0.703 0.976 Te
0.773 0.297 0.546 Te
0.773 0.297 0.024 Te
0.262 0.286 0.524 Te
0.227 0.703 0.454 Te
0.000 0.500 0.000 Sc
0.500 0.500 0.500 Th
0.000 0.500 0.500 Th
0.500 0.500 0.000 Th


5.
BaTa3Cu, optimized geometry, DFT PBE-GGA; ρ = 9.66 Mg/m³; energy of formation = 3.144 eV/atom
1.0
-0.641 1.127 4.868
-4.455 -2.353 -0.042
2.264 -4.310 1.296
Ta Ba Cu
3 1 1
direct
0.000 0.000 0.500 Ta
0.000 0.500 0.000 Ta
0.500 0.000 0.000 Ta
0.000 0.000 0.000 Ba
0.500 0.500 0.500 Cu


6.
MgZrIO2, optimized geometry, DFT PBE-GGA; ρ = 5.32 Mg/m³; raw formation energy = -0.627 eV per atom
1.0
-1.391 -0.217 -3.836
-3.271 -2.072 1.304
-2.531 4.415 0.668
O I Mg Zr
2 1 1 1
direct
0.500 0.000 0.000 O
0.000 0.500 0.000 O
0.000 0.000 0.500 I
0.000 0.000 0.000 Mg
0.500 0.500 0.500 Zr


7.
K2IrW, optimized geometry, DFT PBE-GGA; ρ = 8.85 Mg/m³; energy of formation = 1.630 eV/atom
1.0
4.939 0.000 0.000
2.470 4.277 0.000
2.470 1.426 4.033
K W Ir
2 1 1
direct
0.250 0.250 0.250 K
0.000 0.000 0.000 K
0.750 0.750 0.750 W
0.500 0.500 0.500 Ir


8.
Cs4UGe8O20, optimized geometry, DFT PBE-GGA; ρ = 4.68 Mg/m³; raw formation energy = -1.900 eV per atom
1.0
7.583 0.003 0.000
0.048 12.438 0.000
0.000 0.000 12.562
O Ge Cs U
40 16 8 2
direct
0.781 0.703 0.797 O
0.657 0.598 0.201 O
0.715 0.577 0.602 O
0.327 0.608 0.846 O
0.495 0.982 0.244 O
0.124 0.735 0.705 O
0.922 0.912 0.495 O
0.672 0.477 0.813 O
0.785 0.923 0.102 O
0.827 0.108 0.654 O
0.343 0.402 0.799 O
0.215 0.077 0.898 O
0.505 0.018 0.756 O
0.303 0.568 0.608 O
0.197 0.932 0.108 O
0.005 0.518 0.744 O
0.157 0.098 0.299 O
0.803 0.068 0.892 O
0.078 0.088 0.505 O
0.624 0.235 0.795 O
0.995 0.482 0.256 O
0.018 0.847 0.904 O
0.328 0.523 0.187 O
0.578 0.588 0.995 O
0.518 0.347 0.596 O
0.482 0.653 0.404 O
0.876 0.265 0.295 O
0.982 0.153 0.096 O
0.172 0.977 0.687 O
0.719 0.797 0.297 O
0.828 0.023 0.313 O
0.422 0.412 0.005 O
0.673 0.392 0.154 O
0.173 0.892 0.346 O
0.285 0.423 0.398 O
0.697 0.432 0.392 O
0.376 0.765 0.205 O
0.843 0.902 0.701 O
0.281 0.203 0.703 O
0.219 0.297 0.203 O
0.548 0.696 0.278 Ge
0.530 0.503 0.109 Ge
0.698 0.099 0.772 Ge
0.970 0.997 0.609 Ge
0.216 0.427 0.265 Ge
0.030 0.003 0.391 Ge
0.452 0.304 0.722 Ge
0.952 0.804 0.778 Ge
0.470 0.497 0.891 Ge
0.802 0.401 0.272 Ge
0.198 0.599 0.728 Ge
0.302 0.901 0.228 Ge
0.784 0.573 0.735 Ge
0.284 0.073 0.765 Ge
0.716 0.927 0.235 Ge
0.048 0.196 0.222 Ge
0.491 0.168 0.420 Cs
0.015 0.681 0.442 Cs
0.991 0.668 0.080 Cs
0.009 0.332 0.920 Cs
0.509 0.832 0.580 Cs
0.515 0.181 0.058 Cs
0.985 0.319 0.558 Cs
0.485 0.819 0.942 Cs
0.000 0.000 0.000 U
0.500 0.500 0.500 U


9.
LaY4Hg, optimized geometry, DFT PBE-GGA; ρ = 5.93 Mg/m³; energy of formation = 0.257 eV/atom
1.0
0.000 4.599 4.599
4.599 0.000 4.599
4.599 4.599 0.000
Y La Hg
4 1 1
direct
0.375 0.875 0.375 Y
0.375 0.375 0.375 Y
0.875 0.375 0.375 Y
0.375 0.375 0.875 Y
0.000 0.000 0.000 La
0.750 0.750 0.750 Hg


10.
YAlCr2, optimized geometry, DFT PBE-GGA; ρ = 4.82 Mg/m³; energy of formation = 0.596 eV/atom
1.0
9.084 -0.231 -0.136
8.623 2.867 -0.136
8.623 1.284 2.567
Al Y Cr
1 1 2
direct
0.750 0.750 0.750 Al
0.250 0.250 0.250 Y
0.491 0.491 0.491 Cr
0.009 0.009 0.009 Cr


11.
La3Si2Pd5, optimized geometry, DFT PBE-GGA; ρ = 7.71 Mg/m³; raw formation energy = -0.621 eV per atom
1.0
6.026 0.000 0.000
3.013 8.443 -0.858
3.013 1.413 8.368
Si Pd La
4 10 6
direct
0.644 0.015 0.697 Si
0.144 0.697 0.015 Si
0.356 0.985 0.303 Si
0.856 0.303 0.985 Si
0.139 0.502 0.220 Pd
0.750 0.500 0.500 Pd
0.861 0.498 0.780 Pd
0.250 0.500 0.500 Pd
0.524 0.226 0.226 Pd
0.361 0.780 0.498 Pd
0.476 0.774 0.774 Pd
0.024 0.226 0.226 Pd
0.639 0.220 0.502 Pd
0.976 0.774 0.774 Pd
0.385 0.409 0.821 La
0.885 0.821 0.409 La
0.750 0.000 0.000 La
0.615 0.591 0.179 La
0.115 0.179 0.591 La
0.250 0.000 0.000 La


12.
Y6In3O, optimized geometry, DFT PBE-GGA; ρ = 5.39 Mg/m³; raw formation energy = -0.846 eV per atom
1.0
-5.506 -3.000 -0.799
3.755 -7.833 3.542
-3.174 3.690 8.020
In Y O
6 12 2
direct
0.535 0.242 0.999 In
0.035 0.999 0.242 In
0.035 0.758 0.001 In
0.400 0.480 0.520 In
0.900 0.520 0.480 In
0.535 0.001 0.758 In
0.670 0.228 0.324 Y
0.699 0.862 0.449 Y
0.515 0.911 0.089 Y
0.199 0.138 0.551 Y
0.170 0.324 0.228 Y
0.218 0.695 0.305 Y
0.670 0.676 0.772 Y
0.699 0.551 0.138 Y
0.718 0.305 0.695 Y
0.170 0.772 0.676 Y
0.199 0.449 0.862 Y
0.015 0.089 0.911 Y
0.044 0.250 0.750 O
0.544 0.750 0.250 O